1.
A plane-wave DFT calculation with PBE was carried out for a relaxed Ni5As3 crystal.

Output
D(E_F), states/eV per atom: 0.99
Symmetry: P6_3/mcm (193)

Unit cell a=6.9516 b=6.9516 c=5.1900 alpha=90.00 beta=90.00 gamma=120.00
Closest atoms and distances in Å follow each position.
Sites, in units of the cell vectors:
Ni (0.6667, 0.3333, 0.0000)  8 Ni 2.58-2.60, 6 As 2.73
Ni (0.6416, 0.0000, 0.7500)  3 As 2.31-2.34, 4 Ni 2.58
Ni (0.3584, 0.0000, 0.2500)  3 As 2.31-2.34, 4 Ni 2.58
Ni (0.3584, 0.3584, 0.7500)  3 As 2.31-2.34, 4 Ni 2.58
Ni (0.3333, 0.6667, 0.5000)  8 Ni 2.58-2.60, 6 As 2.73
As (0.6906, 0.0000, 0.2500)  3 Ni 2.31-2.34
Ni (0.6416, 0.6416, 0.2500)  3 As 2.31-2.34, 4 Ni 2.58
Ni (0.6667, 0.3333, 0.5000)  8 Ni 2.58-2.60, 6 As 2.73
Ni (0.0000, 0.6416, 0.7500)  3 As 2.31-2.34, 4 Ni 2.58
Ni (0.3333, 0.6667, 0.0000)  8 Ni 2.58-2.60, 6 As 2.73
As (0.3094, 0.0000, 0.7500)  3 Ni 2.31-2.34
As (0.6906, 0.6906, 0.7500)  3 Ni 2.31-2.34
As (0.0000, 0.6906, 0.2500)  3 Ni 2.31-2.34
As (0.3094, 0.3094, 0.2500)  3 Ni 2.31-2.34
Ni (0.0000, 0.3584, 0.2500)  3 As 2.31-2.34, 4 Ni 2.58
As (0.0000, 0.3094, 0.7500)  3 Ni 2.31-2.34


2.
A plane-wave DFT calculation with PBE was carried out for a relaxed Ni2As crystal.

Output
D(E_F), states/eV per atom: 0.52
Symmetry: P-3m1 (164)

Unit cell a=3.9054 b=3.9053 c=2.8678 alpha=90.00 beta=90.00 gamma=120.00
Closest atoms and distances in Å follow each position.
Sites, in units of the cell vectors:
As (0.0000, 0.0000, 0.0000)  6 Ni 2.37
Ni (0.3333, 0.6667, 0.7500)  3 As 2.37
Ni (0.6667, 0.3333, 0.2500)  3 As 2.37


3.
A plane-wave DFT calculation with PBE was carried out for a relaxed Ni13As2 crystal.

Output
D(E_F), states/eV per atom: 1.68
Symmetry: P-1 (2)

Unit cell a=4.3450 b=6.2018 c=7.4482 alpha=121.96 beta=94.13 gamma=91.37
Closest atoms and distances in Å follow each position.
Sites, in units of the cell vectors:
Ni (0.7990, 0.2157, 0.8082)  1 As 2.43, 11 Ni 2.47-2.59
As (0.9195, 0.7719, 0.6137)  11 Ni 2.39-2.65
As (0.0805, 0.2281, 0.3863)  11 Ni 2.39-2.65
Ni (0.2010, 0.7843, 0.1918)  1 As 2.43, 11 Ni 2.47-2.59
Ni (0.7269, 0.9261, 0.3965)  2 As 2.39-2.43, 10 Ni 2.48-2.60
Ni (0.4681, 0.8720, 0.8040)  2 As 2.40-2.57, 10 Ni 2.47-2.59
Ni (0.5319, 0.1280, 0.1960)  2 As 2.40-2.57, 10 Ni 2.47-2.59
Ni (0.8542, 0.4655, 0.2021)  10 Ni 2.46-2.57, 2 As 2.60-2.65
Ni (0.2731, 0.0739, 0.6035)  2 As 2.39-2.43, 10 Ni 2.48-2.60
Ni (0.6290, 0.4076, 0.5986)  9 Ni 2.46-2.60, 3 As 2.51-2.62
Ni (0.0000, 0.0000, 0.0000)  2 As 2.43, 10 Ni 2.49-2.57
Ni (0.3710, 0.5924, 0.4014)  9 Ni 2.46-2.60, 3 As 2.51-2.62
Ni (0.3315, 0.3358, 0.0019)  12 Ni 2.47-2.55
Ni (0.1458, 0.5345, 0.7979)  10 Ni 2.46-2.57, 2 As 2.60-2.65
Ni (0.6685, 0.6642, 0.9981)  12 Ni 2.47-2.55


4.
A plane-wave DFT calculation with PBE was carried out for a relaxed Ni3As crystal.

Output
D(E_F), states/eV per atom: 0.75
Symmetry: Cmcm (63)

Unit cell a=5.2590 b=5.2590 c=4.1952 alpha=90.00 beta=90.00 gamma=123.84
Closest atoms and distances in Å follow each position.
Sites, in units of the cell vectors:
Ni (0.0926, 0.4092, 0.2500)  3 As 2.37-2.45, 5 Ni 2.47-2.54
Ni (0.5908, 0.9074, 0.2500)  3 As 2.37-2.45, 5 Ni 2.47-2.54
Ni (0.0808, 0.9192, 0.2500)  2 As 2.51, 10 Ni 2.54-2.72
Ni (0.9192, 0.0808, 0.7500)  2 As 2.51, 10 Ni 2.54-2.72
As (0.6240, 0.3760, 0.2500)  8 Ni 2.37-2.51
Ni (0.4092, 0.0926, 0.7500)  3 As 2.37-2.45, 5 Ni 2.47-2.54
As (0.3760, 0.6240, 0.7500)  8 Ni 2.37-2.51
Ni (0.9074, 0.5908, 0.7500)  3 As 2.37-2.45, 5 Ni 2.47-2.54


5.
A plane-wave DFT calculation with PBE was carried out for a relaxed Ni3As crystal.

Output
D(E_F), states/eV per atom: 1.25
Symmetry: Pmmm (47)

Unit cell a=2.7710 b=3.4362 c=5.0045 alpha=90.00 beta=90.00 gamma=90.00
Closest atoms and distances in Å follow each position.
Sites, in units of the cell vectors:
Ni (0.5000, 0.5000, 0.7468)  6 Ni 2.47-2.53, 4 As 2.54
As (0.0000, 0.0000, 0.0000)  10 Ni 2.50-2.54, 2 As 2.77
Ni (0.0000, 0.0000, 0.5000)  2 As 2.50, 10 Ni 2.53-2.77
Ni (0.5000, 0.5000, 0.2532)  6 Ni 2.47-2.53, 4 As 2.54


6.
A plane-wave DFT calculation with PBE was carried out for a relaxed Ni3As crystal.

Output
D(E_F), states/eV per atom: 1.56
Symmetry: P-6m2 (187)

Unit cell a=2.8058 b=2.8058 c=7.3832 alpha=90.00 beta=90.00 gamma=120.00
Closest atoms and distances in Å follow each position.
Sites, in units of the cell vectors:
As (0.0000, 0.0000, 0.0000)  6 Ni 2.40
Ni (0.6667, 0.3333, 0.2401)  3 As 2.40, 3 Ni 2.51
Ni (0.0000, 0.0000, 0.5000)  12 Ni 2.51-2.81
Ni (0.6667, 0.3333, 0.7599)  3 As 2.40, 3 Ni 2.51


7.
A plane-wave DFT calculation with PBE was carried out for a relaxed Ni4As5 crystal.

Output
D(E_F), states/eV per atom: 0.56
Symmetry: I4/mmm (139)

Unit cell a=5.9309 b=5.9309 c=5.9309 alpha=98.15 beta=98.15 gamma=135.76
Closest atoms and distances in Å follow each position.
Sites, in units of the cell vectors:
As (0.6836, 0.3164, 0.0000)  2 Ni 2.46, 2 As 2.67
Ni (0.0000, 0.3357, 0.3357)  3 As 2.46-2.61, 1 Ni 2.55
As (0.0000, 0.0000, 0.0000)  4 Ni 2.61
Ni (0.3357, 0.0000, 0.3357)  3 As 2.46-2.61, 1 Ni 2.55
Ni (0.0000, 0.6643, 0.6643)  3 As 2.46-2.61, 1 Ni 2.55
As (0.3164, 0.6836, 0.0000)  2 Ni 2.46, 2 As 2.67
As (0.6836, 0.6836, 0.3672)  2 Ni 2.46, 2 As 2.67
As (0.3164, 0.3164, 0.6328)  2 Ni 2.46, 2 As 2.67
Ni (0.6643, 0.0000, 0.6643)  3 As 2.46-2.61, 1 Ni 2.55


8.
A plane-wave DFT calculation with PBE was carried out for a relaxed NiAs3 crystal.

Output
D(E_F), states/eV per atom: 0.41
Symmetry: Cmmm (65)

Unit cell a=4.5157 b=4.5157 c=3.4083 alpha=90.00 beta=90.00 gamma=104.20
Closest atoms and distances in Å follow each position.
Sites, in units of the cell vectors:
As (0.5000, 0.0000, 0.5000)  6 As 2.77-2.83, 4 Ni 2.83
As (0.5000, 0.5000, 0.0000)  2 Ni 2.77, 8 As 2.83
Ni (0.0000, 0.0000, 0.0000)  10 As 2.77-2.83
As (0.0000, 0.5000, 0.5000)  6 As 2.77-2.83, 4 Ni 2.83


9.
A plane-wave DFT calculation with PBE was carried out for a relaxed NiAs3 crystal.

Output
D(E_F), states/eV per atom: 0.68
Symmetry: Immm (71)

Unit cell a=5.9864 b=5.9864 c=5.9864 alpha=147.27 beta=141.93 gamma=51.06
Closest atoms and distances in Å follow each position.
Sites, in units of the cell vectors:
As (0.0000, 0.5000, 0.5000)  4 Ni 2.58, 4 As 2.70
Ni (0.5000, 0.0000, 0.5000)  8 As 2.52-2.58
As (0.3271, 0.3271, 0.0000)  2 Ni 2.52, 2 As 2.70
As (0.6729, 0.6729, 0.0000)  2 Ni 2.52, 2 As 2.70


10.
A plane-wave DFT calculation with PBE was carried out for a relaxed Ni5As3 crystal.

Output
D(E_F), states/eV per atom: 0.62
Symmetry: Pnma (62)

Unit cell a=6.4262 b=7.2185 c=8.8473 alpha=90.00 beta=90.00 gamma=90.00
Closest atoms and distances in Å follow each position.
Sites, in units of the cell vectors:
As (0.9393, 0.5291, 0.6811)  9 Ni 2.43-2.62
Ni (0.2415, 0.7500, 0.7270)  6 As 2.47-2.55, 5 Ni 2.54-2.66
Ni (0.2852, 0.4481, 0.5579)  5 As 2.38-2.57, 2 Ni 2.62-2.66
Ni (0.7148, 0.9481, 0.4421)  5 As 2.38-2.57, 2 Ni 2.62-2.66
Ni (0.9454, 0.2500, 0.5275)  5 As 2.37-2.55, 4 Ni 2.54-2.62
As (0.4393, 0.4709, 0.8189)  9 Ni 2.43-2.62
Ni (0.3555, 0.2500, 0.2969)  5 As 2.44-2.62, 4 Ni 2.60-2.71
Ni (0.4454, 0.7500, 0.9725)  5 As 2.37-2.55, 4 Ni 2.54-2.62
Ni (0.7852, 0.5519, 0.9421)  5 As 2.38-2.57, 2 Ni 2.62-2.66
As (0.9238, 0.2500, 0.0208)  8 Ni 2.37-2.49
As (0.0607, 0.0291, 0.3189)  9 Ni 2.43-2.62
As (0.0762, 0.7500, 0.9792)  8 Ni 2.37-2.49
Ni (0.1445, 0.2500, 0.7969)  5 As 2.44-2.62, 4 Ni 2.60-2.71
Ni (0.8555, 0.7500, 0.2031)  5 As 2.44-2.62, 4 Ni 2.60-2.71
As (0.5607, 0.5291, 0.1811)  9 Ni 2.43-2.62
Ni (0.6445, 0.7500, 0.7031)  5 As 2.44-2.62, 4 Ni 2.60-2.71
As (0.4393, 0.0291, 0.8189)  9 Ni 2.43-2.62
Ni (0.0546, 0.7500, 0.4725)  5 As 2.37-2.55, 4 Ni 2.54-2.62
Ni (0.7585, 0.2500, 0.2730)  6 As 2.47-2.55, 5 Ni 2.54-2.66
Ni (0.7148, 0.5519, 0.4421)  5 As 2.38-2.57, 2 Ni 2.62-2.66
Ni (0.2148, 0.0519, 0.0579)  5 As 2.38-2.57, 2 Ni 2.62-2.66
Ni (0.7852, 0.9481, 0.9421)  5 As 2.38-2.57, 2 Ni 2.62-2.66
Ni (0.7415, 0.2500, 0.7730)  6 As 2.47-2.55, 5 Ni 2.54-2.66
Ni (0.2852, 0.0519, 0.5579)  5 As 2.38-2.57, 2 Ni 2.62-2.66
As (0.5607, 0.9709, 0.1811)  9 Ni 2.43-2.62
Ni (0.2585, 0.7500, 0.2270)  6 As 2.47-2.55, 5 Ni 2.54-2.66
Ni (0.5546, 0.2500, 0.0275)  5 As 2.37-2.55, 4 Ni 2.54-2.62
As (0.5762, 0.2500, 0.5208)  8 Ni 2.37-2.49
As (0.9393, 0.9709, 0.6811)  9 Ni 2.43-2.62
Ni (0.2148, 0.4481, 0.0579)  5 As 2.38-2.57, 2 Ni 2.62-2.66
As (0.0607, 0.4709, 0.3189)  9 Ni 2.43-2.62
As (0.4238, 0.7500, 0.4792)  8 Ni 2.37-2.49


11.
A plane-wave DFT calculation with PBE was carried out for a relaxed Ni3As5 crystal.

Output
D(E_F), states/eV per atom: 0.40
Symmetry: Cmmm (65)

Unit cell a=5.9402 b=5.9402 c=3.8844 alpha=90.00 beta=90.00 gamma=110.07
Closest atoms and distances in Å follow each position.
Sites, in units of the cell vectors:
Ni (0.5000, 0.5000, 0.0000)  4 As 2.45, 4 Ni 2.70
As (0.7189, 0.7189, 0.5000)  4 Ni 2.39-2.45
Ni (0.6919, 0.3081, 0.5000)  6 As 2.39-2.64
As (0.2811, 0.2811, 0.5000)  4 Ni 2.39-2.45
As (0.0000, 0.5000, 0.0000)  4 Ni 2.64
As (0.5000, 0.0000, 0.0000)  4 Ni 2.64
As (0.0000, 0.0000, 0.0000)  8 As 2.73-2.97
Ni (0.3081, 0.6919, 0.5000)  6 As 2.39-2.64


Number 1: total magnetization 0.0 μB per cell, mass density 7.9 g cm⁻³, ΔH_f (0 K) -150 meV per atom. Number 2: total magnetization 0.0 μB per cell, mass density 8.4 g cm⁻³, ΔH_f (0 K) -133 meV per atom. Number 3: total magnetization 3.3 μB per cell, mass density 8.9 g cm⁻³, ΔH_f (0 K) -62 meV per atom. Number 4: total magnetization 0.0 μB per cell, mass density 8.6 g cm⁻³, ΔH_f (0 K) -126 meV per atom. Number 5: total magnetization 0.0 μB per cell, mass density 8.7 g cm⁻³, ΔH_f (0 K) -48 meV per atom. Number 6: total magnetization 0.7 μB per cell, mass density 8.3 g cm⁻³, ΔH_f (0 K) 152 meV per atom. Number 7: total magnetization 0.0 μB per cell, mass density 7.5 g cm⁻³, ΔH_f (0 K) 218 meV per atom. Number 8: total magnetization 0.0 μB per cell, mass density 7.0 g cm⁻³, ΔH_f (0 K) 338 meV per atom. Number 9: total magnetization 0.0 μB per cell, mass density 6.6 g cm⁻³, ΔH_f (0 K) 140 meV per atom. Number 10: total magnetization 0.0 μB per cell, mass density 8.4 g cm⁻³, ΔH_f (0 K) -197 meV per atom. Number 11: total magnetization 0.0 μB per cell, mass density 7.1 g cm⁻³, ΔH_f (0 K) 127 meV per atom.